(1)
# ZrVP

A relaxed structure of ZrVP (GGA-PBEsol, Alexandria).

Unit cell a=6.5638 b=3.4778 c=7.8199 alpha=90.00 beta=90.00 gamma=90.00
With the nearest neighbours (Å) after each atom.
Space group Pnma (No. 62)
Unique sites:
Zr (0.0386, 0.2500, 0.1696) (multiplicity 4)  5 P 2.64-2.81, 2 V 2.92
V (0.1289, 0.2500, 0.5579) (multiplicity 4)  4 P 2.42-2.55, 2 V 2.59
P (0.2378, 0.7500, 0.3636) (multiplicity 4)  4 V 2.42-2.55, 4 Zr 2.64-2.65

Magnetization: 0.000 Bohr magnetons per cell
E: -9.36 eV/atom
DOS(E_F): 0.49 states/eV/atom

---

(2)
# RbNa2I

A relaxed structure of RbNa2I (GGA-PBEsol, Alexandria).

Unit cell a=8.8136 b=8.8136 c=8.8136 alpha=90.00 beta=90.00 gamma=90.00
With the nearest neighbours (Å) after each atom.
Space group Fm-3m (No. 225)
Unique sites:
Rb (0.0000, 0.0000, 0.0000) (multiplicity 4)  8 Na 3.82
Na (0.2500, 0.2500, 0.2500) (multiplicity 8)  4 Rb 3.82, 4 I 3.82
I (0.0000, 0.0000, 0.5000) (multiplicity 4)  8 Na 3.82

Magnetization: 0.002 Bohr magnetons per cell
E_form (uncorrected): -0.302 eV per atom
E: -1.70 eV/atom
DOS(E_F): 0.61 states/eV/atom

---

(3)
# YTa2CoAs

A relaxed structure of YTa2CoAs (GGA-PBEsol, Alexandria).

Unit cell a=4.9104 b=4.9104 c=5.0120 alpha=90.00 beta=90.00 gamma=90.00
With the nearest neighbours (Å) after each atom.
Space group P4/mmm (No. 123)
Unique sites:
Y (0.0000, 0.0000, 0.0000) (multiplicity 1)  4 Ta 2.46, 2 As 2.51
Ta (0.0000, 0.5000, 0.0000) (multiplicity 2)  2 Y 2.46
Co (0.5000, 0.5000, 0.5000) (multiplicity 1)  4 As 3.47, 8 Ta 3.51
As (0.0000, 0.0000, 0.5000) (multiplicity 1)  2 Y 2.51

Magnetization: 1.819 Bohr magnetons per cell
E: -6.51 eV/atom
DOS(E_F): 1.42 states/eV/atom

---

(4)
# NaBiSe2

A relaxed structure of NaBiSe2 (GGA-PBEsol, Alexandria).

Unit cell a=4.1643 b=4.1643 c=21.0928 alpha=90.00 beta=90.00 gamma=120.00
With the nearest neighbours (Å) after each atom.
Space group R-3m (No. 166, hexagonal axes)
Unique sites:
Na (0.0000, 0.0000, 0.0000) (multiplicity 3)  6 Se 3.02
Bi (0.0000, 0.0000, 0.5000) (multiplicity 3)  6 Se 2.94
Se (0.0000, 0.0000, 0.2466) (multiplicity 6)  3 Bi 2.94, 3 Na 3.02

Magnetization: 0.000 Bohr magnetons per cell
E_form (uncorrected): -0.732 eV per atom
E: -4.08 eV/atom

---

(5)
# Li2InAs

A relaxed structure of Li2InAs (GGA-PBEsol, Alexandria).

Unit cell a=3.1013 b=4.6990 c=4.8004 alpha=90.00 beta=90.00 gamma=90.00
With the nearest neighbours (Å) after each atom.
Space group Pmm2 (No. 25)
Unique sites:
Li (0.0000, 0.0000, 0.0000) (multiplicity 1)  4 In 2.85-2.86, 4 As 2.87, 4 Li 2.95-3.10
Li (0.0000, 0.5000, 0.3726) (multiplicity 1)  4 As 2.80-2.92, 4 In 2.88, 4 Li 2.95-3.10
In (0.5000, 0.0000, 0.4987) (multiplicity 1)  8 Li 2.85-2.88, 2 As 3.00, 2 In 3.10
As (0.5000, 0.5000, 0.8875) (multiplicity 1)  8 Li 2.80-2.92, 2 In 3.00, 2 As 3.10

Magnetization: 0.000 Bohr magnetons per cell
E: -3.36 eV/atom
DOS(E_F): 0.39 states/eV/atom

---

(6)
# TcOs3

A relaxed structure of TcOs3 (GGA-PBEsol, Alexandria).

Unit cell a=2.7311 b=8.6290 c=4.7337 alpha=90.00 beta=90.00 gamma=90.00
With the nearest neighbours (Å) after each atom.
Space group Imm2 (No. 44)
Unique sites:
Tc (0.0000, 0.0000, 0.0000) (multiplicity 2)  10 Os 2.67-2.73, 2 Tc 2.73
Os (0.0000, 0.2496, 0.6666) (multiplicity 4)  3 Tc 2.67, 9 Os 2.67-2.73
Os (0.0000, 0.5000, 0.9994) (multiplicity 2)  8 Os 2.67-2.73, 4 Tc 2.73

Magnetization: 0.000 Bohr magnetons per cell
Energy above the most stable polymorph in this dataset: 1 meV/atom
E: -12.05 eV/atom
DOS(E_F): 0.66 states/eV/atom

---

(7)
# Cs2CoI4

A relaxed structure of Cs2CoI4 (GGA-PBEsol, Alexandria).

Unit cell a=10.7726 b=8.0547 c=13.9805 alpha=90.00 beta=90.00 gamma=90.00
With the nearest neighbours (Å) after each atom.
Space group Pnma (No. 62)
Unique sites:
Cs (0.0276, 0.2500, 0.1604) (multiplicity 4)  9 I 3.74-4.09
Cs (0.1367, 0.7500, 0.3961) (multiplicity 4)  8 I 3.92-4.23, 1 Co 4.28
Co (0.2412, 0.7500, 0.0779) (multiplicity 4)  4 I 2.52-2.54
I (0.0089, 0.7500, 0.1103) (multiplicity 4)  1 Co 2.54
I (0.1658, 0.5067, 0.6521) (multiplicity 8)  1 Co 2.52
I (0.1906, 0.2500, 0.4047) (multiplicity 4)  1 Co 2.53

Magnetization: 12.001 Bohr magnetons per cell
E_form (uncorrected): -0.878 eV per atom
E: -3.26 eV/atom

---

(8)
# MoSe2

A relaxed structure of MoSe2 (GGA-PBEsol, Alexandria).

Unit cell a=3.2680 b=3.2680 c=13.0492 alpha=90.00 beta=90.00 gamma=120.00
With the nearest neighbours (Å) after each atom.
Space group P6_3/mmc (No. 194)
Unique sites:
Mo (0.3333, 0.6667, 0.2500) (multiplicity 2)  6 Se 2.52
Se (0.3333, 0.6667, 0.6224) (multiplicity 4)  3 Mo 2.52

Magnetization: 0.000 Bohr magnetons per cell
E_form (uncorrected): -0.716 eV per atom
E: -7.21 eV/atom

---

(9)
# CdTc3

A relaxed structure of CdTc3 (GGA-PBEsol, Alexandria).

Unit cell a=5.4561 b=7.9187 c=2.7639 alpha=90.00 beta=90.00 gamma=90.00
With the nearest neighbours (Å) after each atom.
Space group Cmmm (No. 65)
Unique sites:
Cd (0.0000, 0.0000, 0.0000) (multiplicity 2)  10 Tc 2.73-2.77, 2 Cd 2.76
Tc (0.0000, 0.5000, 0.0000) (multiplicity 2)  2 Cd 2.73, 10 Tc 2.76-2.77
Tc (0.2500, 0.2500, 0.5000) (multiplicity 4)  8 Tc 2.73-2.77, 4 Cd 2.77

Magnetization: 0.000 Bohr magnetons per cell
Energy above the most stable polymorph in this dataset: 290 meV/atom
E: -8.25 eV/atom
DOS(E_F): 1.11 states/eV/atom

---

(10)
# TaFeMo2

A relaxed structure of TaFeMo2 (GGA-PBEsol, Alexandria).

Unit cell a=3.1682 b=4.3627 c=8.5305 alpha=90.00 beta=90.00 gamma=90.00
With the nearest neighbours (Å) after each atom.
Space group Cmm2 (No. 35)
Unique sites:
Ta (0.0000, 0.0000, 0.0000) (multiplicity 2)  2 Fe 2.60, 4 Ta 2.70, 2 Mo 2.80
Fe (0.0000, 0.5000, 0.2412) (multiplicity 2)  2 Mo 2.52, 2 Ta 2.60, 4 Fe 2.70
Mo (0.0000, 0.0000, 0.4710) (multiplicity 2)  2 Fe 2.52, 6 Mo 2.70-2.71
Mo (0.0000, 0.5000, 0.7294) (multiplicity 2)  6 Mo 2.70-2.71, 2 Ta 2.80

Magnetization: 3.438 Bohr magnetons per cell
Energy above the most stable polymorph in this dataset: 28 meV/atom
E: -11.24 eV/atom
DOS(E_F): 0.61 states/eV/atom

---

(11)
# AlBi2OsRu

A relaxed structure of AlBi2OsRu (GGA-PBEsol, Alexandria).

Unit cell a=5.1879 b=5.1879 c=4.7604 alpha=90.00 beta=90.00 gamma=90.00
With the nearest neighbours (Å) after each atom.
Space group P4/mmm (No. 123)
Unique sites:
Al (0.0000, 0.0000, 0.0000) (multiplicity 1)  8 Bi 3.52, 4 Ru 3.67
Bi (0.0000, 0.5000, 0.5000) (multiplicity 2)  2 Os 2.59
Os (0.5000, 0.5000, 0.5000) (multiplicity 1)  2 Ru 2.38, 4 Bi 2.59
Ru (0.5000, 0.5000, 0.0000) (multiplicity 1)  2 Os 2.38

Magnetization: 0.000 Bohr magnetons per cell
E: -5.71 eV/atom
DOS(E_F): 0.95 states/eV/atom

---

(12)
# IrWCl2

A relaxed structure of IrWCl2 (GGA-PBEsol, Alexandria).

Unit cell a=2.7938 b=4.2695 c=5.1533 alpha=90.00 beta=90.00 gamma=90.00
With the nearest neighbours (Å) after each atom.
Space group Pmmm (No. 47)
Unique sites:
Ir (0.0000, 0.0000, 0.0000) (multiplicity 1)  4 Cl 2.55, 2 Ir 2.79
W (0.5000, 0.0000, 0.5000) (multiplicity 1)  4 Cl 2.55, 2 W 2.79
Cl (0.0000, 0.5000, 0.5000) (multiplicity 1)  4 W 2.55, 2 Cl 2.79
Cl (0.5000, 0.5000, 0.0000) (multiplicity 1)  4 Ir 2.55, 2 Cl 2.79

Magnetization: 0.691 Bohr magnetons per cell
E_form (uncorrected): 0.783 eV per atom
Energy above the most stable polymorph in this dataset: 770 meV/atom
E: -6.13 eV/atom
DOS(E_F): 0.91 states/eV/atom

---

(13)
# Y2Tc

A relaxed structure of Y2Tc (GGA-PBEsol, Alexandria).

Unit cell a=3.4135 b=3.4135 c=12.3719 alpha=90.00 beta=90.00 gamma=90.00
With the nearest neighbours (Å) after each atom.
Space group I4/mmm (No. 139)
Unique sites:
Y (0.0000, 0.0000, 0.1304) (multiplicity 4)  4 Tc 2.90, 1 Y 3.23
Tc (0.0000, 0.0000, 0.5000) (multiplicity 2)  8 Y 2.90

Magnetization: 0.000 Bohr magnetons per cell
Energy above the most stable polymorph in this dataset: 0 meV/atom
E: -8.29 eV/atom
DOS(E_F): 1.17 states/eV/atom

---

(14)
# KHgPb2

A relaxed structure of KHgPb2 (GGA-PBEsol, Alexandria).

Unit cell a=3.6499 b=5.0371 c=7.0979 alpha=90.00 beta=103.23 gamma=90.00
With the nearest neighbours (Å) after each atom.
Space group P2/m (No. 10)
Unique sites:
K (0.0000, 0.0000, 0.0000) (multiplicity 1)  2 Hg 3.60, 2 K 3.65, 8 Pb 3.67-3.85
Hg (0.5000, 0.0000, 0.5000) (multiplicity 1)  4 Pb 3.02
Pb (0.3147, 0.5000, 0.6949) (multiplicity 2)  2 Hg 3.02, 2 Pb 3.17-3.35

Magnetization: 0.000 Bohr magnetons per cell
E: -2.52 eV/atom
DOS(E_F): 0.36 states/eV/atom